Ca2Tb2GaRh4 | PBE | optimized geometry

Geometry as POSCAR:
```
Ca2Tb2GaRh4
1.0
-6.142 -0.303 -1.861
3.193 -5.521 0.783
1.249 2.020 5.970
Ca Tb Ga Rh
2 2 1 4
direct
0.500 0.750 0.250 Ca
0.500 0.250 0.750 Ca
0.000 0.684 0.684 Tb
0.000 0.316 0.316 Tb
0.000 0.000 0.000 Ga
0.000 0.739 0.261 Rh
0.477 0.739 0.739 Rh
0.000 0.261 0.739 Rh
0.523 0.261 0.261 Rh
```

Values from the calculation:
magnetization: 0.00 Bohr magnetons per cell
symmetry: I4/mmm, No. 139
energy relative to the elements: -0.415 eV per atom
N(E_F): 0.39 states/eV/atom